## CsPmCr2O8 (PBE+U)

Data for a relaxed structure of CsPmCr2O8.

Cell and atoms, written as POSCAR:
```
CsPmCr2O8
1.0
5.904 0.000 0.000
-2.952 5.113 0.000
0.000 0.000 8.534
Cs Pm Cr O
1 1 2 8
direct
0.000 0.000 0.000
0.000 0.000 0.500
0.333 0.667 0.735
0.667 0.333 0.265
0.178 0.357 0.670
0.178 0.822 0.670
0.333 0.667 0.925
0.357 0.178 0.330
0.643 0.822 0.670
0.667 0.333 0.075
0.822 0.178 0.330
0.822 0.643 0.330
```

## Properties
**Total DFT energy (no corrections)**: -83.023 eV per cell